A plane-wave DFT calculation with PBE-GGA was carried out for an optimized crystal structure of SrGe2.

Lattice parameters (Å, degrees): 5.8699 5.8699 5.8699 60.00 60.00 60.00
Element x y z (fractional)
Sr 0.1250 0.1250 0.1250
Sr 0.8750 0.8750 0.8750
Ge 0.0000 0.5000 0.5000
Ge 0.5000 0.0000 0.5000
Ge 0.5000 0.5000 0.0000
Ge 0.5000 0.5000 0.5000

Properties
Space group: Fd-3m (227)
Calculated volume in Å³/atom: 23.84
Formation energy from the elements in eV per atom: -0.41
Crystal system: cubic